Material: ZnB2Rh5
Method: DFT, PBE
State: relaxed

Calculated values
Energy in eV/f.u.: -53.8
Excess energy over the best structure of this formula in the dataset in eV/atom: 0.000
Formation enthalpy at 0 K in eV per atom: -0.304

Cell lengths 2.8833, 5.5842, 6.9647 Å; angles 113.63, 101.95, 90.00 degrees
With the nearest neighbours (Å) after each atom.
Element x y z (fractional)
Zn (0.0000, 0.0000, 0.0000)  10 Rh 2.78-2.79, 2 Zn 2.88
B (0.2140, 0.7140, 0.4280)  6 Rh 2.13-2.17
B (0.7860, 0.2860, 0.5720)  6 Rh 2.13-2.17
Rh (0.0000, 0.5000, 0.0000)  2 B 2.66, 10 Rh 2.76-2.88, 2 Zn 2.79
Rh (0.6533, 0.4065, 0.3066)  3 B 2.13-2.17
Rh (0.3467, 0.5935, 0.6934)  3 B 2.13-2.17
Rh (0.6533, 0.9001, 0.3066)  3 B 2.13-2.17
Rh (0.3467, 0.0999, 0.6934)  3 B 2.13-2.17